# 1
{
  "formula": "Mn4Se5S",
  "functional": "PBE",
  "state": "relaxed",
  "lattice_angstrom": [[7.975, -1.793, 0.000], [7.975, 1.793, 0.000], [-1.628, 0.000, 7.183]],
  "species": ["Mn", "Mn", "Mn", "Mn", "Se", "Se", "Se", "Se", "Se", "S"],
  "frac_coords": [[0.003, 0.003, 0.252], [0.334, 0.334, 0.909], [0.666, 0.666, 0.091], [0.997, 0.997, 0.748], [0.164, 0.164, 0.322], [0.165, 0.165, 0.851], [0.500, 0.500, 0.500], [0.835, 0.835, 0.149], [0.836, 0.836, 0.678], [0.500, 0.500, 0.000]],
  "m_tot_mub_per_cell": 15.52,
  "raw_formation_energy_mev_per_atom": -431
}

---

# 2
{
  "formula": "Mo2AsOs",
  "functional": "PBE",
  "state": "relaxed",
  "lattice_angstrom": [[2.951, 0.000, 0.000], [0.000, 2.951, 0.000], [0.000, 0.000, 6.908]],
  "species": ["Mo", "Mo", "As", "Os"],
  "frac_coords": [[0.000, 0.000, 0.239], [0.000, 0.000, 0.761], [0.500, 0.500, 0.000], [0.500, 0.500, 0.500]],
  "m_tot_mub_per_cell": 0.00,
  "formation_energy_ev_per_atom": -0.01
}

---

# 3
{
  "formula": "Th2InPd6",
  "functional": "PBE",
  "state": "relaxed",
  "lattice_angstrom": [[3.704, -7.025, 0.000], [3.704, 7.025, 0.000], [0.000, 0.000, 3.655]],
  "species": ["Th", "Th", "In", "Pd", "Pd", "Pd", "Pd", "Pd", "Pd"],
  "frac_coords": [[0.183, 0.817, 0.000], [0.817, 0.183, 0.000], [0.500, 0.500, 0.500], [0.142, 0.459, 0.500], [0.207, 0.207, 0.000], [0.459, 0.142, 0.500], [0.541, 0.858, 0.500], [0.793, 0.793, 0.000], [0.858, 0.541, 0.500]],
  "m_tot_mub_per_cell": 0.00,
  "formation_energy_ev_per_atom": -0.63
}

---

# 4
{
  "formula": "MnTe2S",
  "functional": "PBE",
  "state": "relaxed",
  "lattice_angstrom": [[-3.095, 3.095, 6.354], [3.095, -3.095, 6.354], [3.095, 3.095, -6.354]],
  "species": ["Mn", "Mn", "Te", "Te", "Te", "Te", "S", "S"],
  "frac_coords": [[0.000, 0.000, 0.000], [0.750, 0.250, 0.500], [0.087, 0.625, 0.962], [0.375, 0.337, 0.462], [0.663, 0.125, 0.038], [0.875, 0.913, 0.538], [0.250, 0.750, 0.500], [0.500, 0.500, 0.000]],
  "m_tot_mub_per_cell": 5.89,
  "raw_formation_energy_mev_per_atom": 309
}

---

# 5
{
  "formula": "Tb7Bi2Rh2",
  "functional": "PBE",
  "state": "relaxed",
  "lattice_angstrom": [[-1.897, 8.225, 4.965], [1.897, -8.225, 4.965], [1.897, 8.225, -4.965]],
  "species": ["Tb", "Tb", "Tb", "Tb", "Tb", "Tb", "Tb", "Bi", "Bi", "Rh", "Rh"],
  "frac_coords": [[0.000, 0.000, 0.000], [0.048, 0.366, 0.681], [0.066, 0.720, 0.346], [0.374, 0.720, 0.654], [0.431, 0.564, 0.868], [0.685, 0.366, 0.319], [0.696, 0.564, 0.132], [0.324, 0.324, 0.000], [0.730, 0.230, 0.500], [0.294, 0.055, 0.239], [0.817, 0.055, 0.761]],
  "m_tot_mub_per_cell": 0.00,
  "de_polymorph_mev_per_atom": 0,
  "formation_energy_ev_per_atom": -0.64
}

---

# 6
{
  "formula": "BaCaGa3",
  "functional": "PBE",
  "state": "relaxed",
  "lattice_angstrom": [[5.557, 0.000, 0.000], [0.000, 5.557, 0.000], [0.000, 0.000, 5.557]],
  "species": ["Ba", "Ca", "Ga", "Ga", "Ga"],
  "frac_coords": [[0.000, 0.000, 0.000], [0.500, 0.500, 0.500], [0.000, 0.500, 0.500], [0.500, 0.000, 0.500], [0.500, 0.500, 0.000]],
  "m_tot_mub_per_cell": 0.00,
  "de_polymorph_mev_per_atom": 573,
  "formation_energy_ev_per_atom": 0.13
}

---

# 7
{
  "formula": "K2ZrAu2",
  "functional": "PBE",
  "state": "relaxed",
  "lattice_angstrom": [[7.236, 0.000, 0.000], [0.000, 7.236, 0.000], [0.000, 0.000, 5.645]],
  "species": ["K", "K", "K", "K", "Zr", "Zr", "Au", "Au", "Au", "Au"],
  "frac_coords": [[0.170, 0.330, 0.000], [0.330, 0.830, 0.000], [0.670, 0.170, 0.000], [0.830, 0.670, 0.000], [0.000, 0.000, 0.500], [0.500, 0.500, 0.500], [0.136, 0.636, 0.500], [0.364, 0.136, 0.500], [0.636, 0.864, 0.500], [0.864, 0.364, 0.500]],
  "m_tot_mub_per_cell": 0.63,
  "de_polymorph_mev_per_atom": 0,
  "formation_energy_ev_per_atom": 0.07
}

---

# 8
{
  "formula": "MgFe2Re2",
  "functional": "PBE",
  "state": "relaxed",
  "lattice_angstrom": [[7.220, 0.000, 0.000], [0.000, 7.220, 0.000], [0.000, 0.000, 2.685]],
  "species": ["Mg", "Mg", "Fe", "Fe", "Fe", "Fe", "Re", "Re", "Re", "Re"],
  "frac_coords": [[0.000, 0.000, 0.000], [0.500, 0.500, 0.000], [0.125, 0.375, 0.000], [0.375, 0.875, 0.000], [0.625, 0.125, 0.000], [0.875, 0.625, 0.000], [0.165, 0.665, 0.500], [0.335, 0.165, 0.500], [0.665, 0.835, 0.500], [0.835, 0.335, 0.500]],
  "m_tot_mub_per_cell": 0.00,
  "de_polymorph_mev_per_atom": 0,
  "formation_energy_ev_per_atom": 0.19
}

---

What did the eighth record say?
{
  "formula": "MgFe2Re2",
  "functional": "PBE",
  "state": "relaxed",
  "lattice_angstrom": [[7.220, 0.000, 0.000], [0.000, 7.220, 0.000], [0.000, 0.000, 2.685]],
  "species": ["Mg", "Mg", "Fe", "Fe", "Fe", "Fe", "Re", "Re", "Re", "Re"],
  "frac_coords": [[0.000, 0.000, 0.000], [0.500, 0.500, 0.000], [0.125, 0.375, 0.000], [0.375, 0.875, 0.000], [0.625, 0.125, 0.000], [0.875, 0.625, 0.000], [0.165, 0.665, 0.500], [0.335, 0.165, 0.500], [0.665, 0.835, 0.500], [0.835, 0.335, 0.500]],
  "m_tot_mub_per_cell": 0.00,
  "de_polymorph_mev_per_atom": 0,
  "formation_energy_ev_per_atom": 0.19
}